VASP calculation (GGA-PBE) on a geometry-optimized Ag2PtAu structure.

Crystal system: tetragonal
Energy relative to the elements, eV/atom: 0.062
Total DFT energy (no corrections), eV/cell: -14.8
E above lowest polymorph, meV/atom: 82

a b c (Å): 4.8035 4.8035 2.9988
angles (deg): 90.00 90.00 90.00
Space group P4/mmm (No. 123)
Asymmetric unit:
Ag 0.0000 0.5000 0.0000 (multiplicity 2)
Pt 0.0000 0.0000 0.5000 (multiplicity 1)
Au 0.5000 0.5000 0.5000 (multiplicity 1)